LiHo2Ga4 | PBE-GGA | optimized geometry

Properties
Uncorrected energy (eV per formula unit): -22.7
V (Å³ per atom): 26.86
ΔH_f (0 K) (meV per atom): 68
Crystal system: orthorhombic
Magnetic moment (Bohr magnetons per cell): 0.00
Density of states at the Fermi level (states/eV per cell): 8.898

Geometry as CIF:
```
data_LiHo2Ga4
_space_group_name_H-M_alt 'C m m m'
_space_group_IT_number 65
_space_group_name_Hall '-C 2 2'
_cell_length_a 5.687
_cell_length_b 11.579
_cell_length_c 5.710
_cell_angle_alpha 90.00
_cell_angle_beta 90.00
_cell_angle_gamma 90.00
loop_
_atom_site_label
_atom_site_type_symbol
_atom_site_fract_x
_atom_site_fract_y
_atom_site_fract_z
Li1 Li 0.000 0.000 0.000
Ho1 Ho 0.000 0.353 0.500
Ga1 Ga 0.000 0.104 0.500
Ga2 Ga 0.000 0.382 0.000
```